No. 1
NaAl6Ag4: relaxed, PBE.

Properties
The calculation puts the total magnetization at 0.0 μB per cell. The calculation puts the electronic total energy at -3.10 eV/atom. The density of states at the Fermi level is 0.267 states/eV/atom.

Lattice parameters (Å, degrees): 6.814 6.814 6.814 88.61 120.80 120.80
Positions (direct):
Na  0.000  0.000  0.000
Al  0.000  0.887  0.501
Al  0.000  0.501  0.887
Al  0.614  0.113  0.113
Al  0.500  0.000  0.500
Al  0.386  0.499  0.499
Al  0.500  0.500  0.000
Ag  0.000  0.238  0.588
Ag  0.651  0.412  0.412
Ag  0.000  0.588  0.238
Ag  0.349  0.762  0.762


No. 2
TeIrAu2: relaxed, PBE.

Properties
The value obtained for the uncorrected formation energy is 0.240 eV/atom. The calculation puts the total magnetization at 0.0 μB per cell. The calculation puts the electronic total energy at -4.40 eV/atom. The density of states at the Fermi level is 0.475 states/eV/atom.

Lattice parameters (Å, degrees): 3.724 3.941 6.202 61.75 90.00 90.00
Positions (direct):
Au  0.000  0.985  0.067
Au  0.500  0.380  0.205
Ir  0.000  0.407  0.548
Te  0.500  0.728  0.680


No. 3
La6Nd16Tm7: relaxed, PBE.

Properties
The calculation puts the total magnetization at 2.4 μB per cell. The calculation puts the electronic total energy at -4.54 eV/atom. The density of states at the Fermi level is 1.906 states/eV/atom.

Lattice parameters (Å, degrees): 11.355 11.355 11.355 60.00 60.00 60.00
Last column: magnetic moment on the atom in μB.
Positions (direct):
La  0.293  0.707  0.293  0.07
La  0.707  0.293  0.707  0.07
La  0.707  0.293  0.293  0.07
La  0.293  0.707  0.707  0.07
La  0.707  0.707  0.293  0.07
La  0.293  0.293  0.707  0.07
Nd  0.878  0.878  0.367  0.01
Nd  0.878  0.878  0.878  0.01
Nd  0.878  0.367  0.878  0.01
Nd  0.367  0.878  0.878  0.01
Nd  0.122  0.122  0.122  0.01
Nd  0.122  0.122  0.633  0.01
Nd  0.122  0.633  0.122  0.01
Nd  0.633  0.122  0.122  0.01
Nd  0.654  0.654  0.037  0.04
Nd  0.654  0.654  0.654  0.04
Nd  0.654  0.037  0.654  0.04
Nd  0.037  0.654  0.654  0.04
Nd  0.346  0.346  0.346  0.04
Nd  0.346  0.346  0.963  0.04
Nd  0.346  0.963  0.346  0.04
Nd  0.963  0.346  0.346  0.04
Tm  0.000  0.000  0.000  0.03
Tm  0.500  0.000  0.500  0.01
Tm  0.000  0.500  0.000  0.01
Tm  0.000  0.500  0.500  0.01
Tm  0.500  0.000  0.000  0.01
Tm  0.000  0.000  0.500  0.01
Tm  0.500  0.500  0.000  0.01


No. 4
CaAsP: relaxed, PBE.

Properties
Its energy above the most stable polymorph in this dataset is 20.6 meV/atom. The calculation puts the total magnetization at 0.0 μB per cell. The calculation puts the electronic total energy at -4.72 eV/atom. The density of states at the Fermi level is 0.033 states/eV/atom.

Lattice parameters (Å, degrees): 4.373 3.658 8.317 90.00 98.16 90.00
Positions (direct):
Ca  0.517  0.500  0.762
Ca  0.296  0.000  0.316
As  0.843  0.500  0.449
As  0.074  0.500  0.021
P  0.735  0.000  0.062
P  0.977  0.000  0.640


No. 5
Al2SiCl: relaxed, PBE.

Properties
The value obtained for the uncorrected formation energy is 0.051 eV/atom. Its energy above the most stable polymorph in this dataset is 90.4 meV/atom. The calculation puts the total magnetization at 0.0 μB per cell. The calculation puts the electronic total energy at -3.64 eV/atom. The density of states at the Fermi level is 0.447 states/eV/atom.

Lattice parameters (Å, degrees): 4.646 4.646 5.498 126.32 126.32 69.44
Positions (direct):
Si  0.625  0.374  0.500
Al  0.124  0.876  0.000
Al  0.126  0.875  0.500
Cl  0.626  0.374  0.000


No. 6
SrAsS2Cl: relaxed, PBE.

Properties
The value obtained for the uncorrected formation energy is 0.223 eV/atom. Its energy above the most stable polymorph in this dataset is 1099.2 meV/atom. The calculation puts the total magnetization at 0.0 μB per cell. The calculation puts the electronic total energy at -3.06 eV/atom. The density of states at the Fermi level is 1.453 states/eV/atom.

Lattice parameters (Å, degrees): 5.626 5.626 5.277 90.00 90.00 90.00
Positions (direct):
Sr  0.000  0.000  0.000
As  0.500  0.500  0.500
S  0.000  0.500  0.000
S  0.500  0.000  0.000
Cl  0.000  0.000  0.500


No. 7
BaMgP2: relaxed, PBE.

Properties
The calculation puts the total magnetization at 0.0 μB per cell. The calculation puts the electronic total energy at -3.44 eV/atom. The density of states at the Fermi level is 1.041 states/eV/atom.

Lattice parameters (Å, degrees): 5.102 5.102 5.102 60.00 60.00 60.00
Positions (direct):
Ba  0.500  0.500  0.500
Mg  0.750  0.750  0.750
P  0.000  0.000  0.000
P  0.250  0.250  0.250


No. 8
Tm3H2Se2: relaxed, PBE.

Properties
The calculation puts the total magnetization at 0.0 μB per cell. The calculation puts the electronic total energy at -5.03 eV/atom. The density of states at the Fermi level is 0.400 states/eV/atom.

Lattice parameters (Å, degrees): 3.816 4.248 8.222 105.00 103.41 89.97
Positions (direct):
Tm  0.000  0.000  0.000
Tm  0.631  0.631  0.261
Tm  0.369  0.369  0.739
H  0.500  0.257  0.000
H  0.500  0.743  0.000
Se  0.822  0.823  0.646
Se  0.178  0.177  0.354


No. 9
Ta2InGePb: relaxed, PBE.

Properties
The calculation puts the total magnetization at 0.0 μB per cell. The calculation puts the electronic total energy at -5.89 eV/atom. The density of states at the Fermi level is 1.072 states/eV/atom.

Lattice parameters (Å, degrees): 4.911 5.094 4.911 90.00 90.00 90.00
Positions (direct):
Pb  0.500  0.500  0.500
Ge  0.000  0.000  0.000
In  0.000  0.500  0.000
Ta  0.000  0.000  0.500
Ta  0.500  0.000  0.000


No. 10
SrCaMo2: relaxed, PBE.

Properties
Its energy above the most stable polymorph in this dataset is 366.2 meV/atom. The calculation puts the total magnetization at 0.0 μB per cell. The calculation puts the electronic total energy at -5.51 eV/atom. The density of states at the Fermi level is 0.771 states/eV/atom.

Lattice parameters (Å, degrees): 5.970 5.970 6.644 62.25 62.25 36.29
Positions (direct):
Sr  0.750  0.750  0.750
Mo  0.999  0.999  0.135
Mo  0.501  0.501  0.365
Ca  0.250  0.250  0.250


No. 11
Cs2Tb2SnSe6: relaxed, PBE.

Properties
The value obtained for the uncorrected formation energy is -1.345 eV/atom. The calculation puts the total magnetization at 0.0 μB per cell. The calculation puts the electronic total energy at -4.61 eV/atom.

Lattice parameters (Å, degrees): 7.176 7.176 8.993 98.02 98.02 119.82
Positions (direct):
Cs  0.830  0.170  0.000
Cs  0.170  0.830  0.000
Tb  0.332  0.668  0.500
Tb  0.668  0.332  0.500
Sn  0.000  0.000  0.500
Se  0.746  0.746  0.679
Se  0.066  0.385  0.683
Se  0.254  0.254  0.321
Se  0.385  0.066  0.683
Se  0.934  0.615  0.317
Se  0.615  0.934  0.317


No. 12
MnSb2Se4: relaxed, PBE.

Properties
The value obtained for the uncorrected formation energy is -0.317 eV/atom. Its energy above the most stable polymorph in this dataset is 0.0 meV/atom. The calculation puts the total magnetization at 10.0 μB per cell. The calculation puts the electronic total energy at -4.80 eV/atom. The density of states at the Fermi level is 0.000 states/eV/atom.

Lattice parameters (Å, degrees): 6.935 6.935 15.806 66.39 66.39 33.59
Last column: magnetic moment on the atom in μB.
Positions (direct):
Mn  0.000  0.000  0.000  4.22
Mn  0.000  0.000  0.500  4.22
Sb  0.645  0.645  0.629  0.05
Sb  0.355  0.355  0.371  0.05
Sb  0.230  0.230  0.124  0.04
Sb  0.770  0.770  0.876  0.04
Se  0.012  0.012  0.331  0.03
Se  0.988  0.988  0.669  0.03
Se  0.657  0.657  0.457  0.04
Se  0.343  0.343  0.543  0.04
Se  0.607  0.607  0.048  0.04
Se  0.393  0.393  0.952  0.04
Se  0.838  0.838  0.173  0.04
Se  0.162  0.162  0.827  0.04